[1]
MnZnCo3 | meta-GGA SCAN | PBEsol geometry

abc: 4.231 4.231 4.231
angles: 90.00 90.00 90.00
Positions (direct):
Mn (0.000, 0.000, 0.000)
Zn (0.500, 0.500, 0.500)
Co (0.000, 0.500, 0.500)
Co (0.500, 0.000, 0.500)
Co (0.500, 0.500, 0.000)

Results
volume	15.143	Å³/atom
energy of formation	1.085	eV/atom
symmetry	No. 221
DOS(E_F)	5.82	states/eV/cell

[2]
LiSc4Al | meta-GGA SCAN | PBEsol geometry

abc: 5.754 5.754 5.754
angles: 60.00 60.00 60.00
Positions (direct):
Li (0.000, 0.000, 0.000)
Sc (0.129, 0.624, 0.624)
Sc (0.624, 0.129, 0.624)
Sc (0.624, 0.624, 0.129)
Sc (0.624, 0.624, 0.624)
Al (0.250, 0.250, 0.250)

Results
volume	22.453	Å³/atom
energy of formation	0.320	eV/atom
symmetry	No. 216
DOS(E_F)	2.94	states/eV/cell

[3]
La2InAuCl | meta-GGA SCAN | PBEsol geometry

abc: 5.351 5.351 4.868
angles: 90.00 90.00 90.00
Positions (direct):
La (0.000, 0.500, 0.000)
La (0.500, 0.000, 0.000)
In (0.000, 0.000, 0.500)
Au (0.500, 0.500, 0.500)
Cl (0.500, 0.500, 0.000)

Results
volume	27.875	Å³/atom
energy relative to the elements, uncorrected	-3.0	eV per formula unit
symmetry	No. 123
DOS(E_F)	3.60	states/eV/cell

[4]
TiBH | meta-GGA SCAN | PBEsol geometry

abc: 6.107 5.767 3.016
angles: 81.65 69.11 29.24
Positions (direct):
Ti (0.141, 0.141, 0.859)
Ti (0.859, 0.859, 0.141)
B (0.333, 0.667, 0.333)
B (0.667, 0.333, 0.667)
H (0.250, 0.250, 0.250)
H (0.750, 0.750, 0.750)

Results
volume	7.526	Å³/atom
symmetry	No. 69
DOS(E_F)	1.08	states/eV/cell

[5]
Sc2InPb | meta-GGA SCAN | PBEsol geometry

abc: 5.899 5.899 5.899
angles: 137.99 137.99 60.92
Positions (direct):
Sc (0.000, 0.000, 0.000)
Sc (0.750, 0.250, 0.500)
In (0.500, 0.500, 0.000)
Pb (0.250, 0.750, 0.500)

Results
volume	22.730	Å³/atom
energy of formation	-0.560	eV/atom
symmetry	No. 119
DOS(E_F)	2.74	states/eV/cell

[6]
Ti3HgAs | meta-GGA SCAN | PBEsol geometry

abc: 4.634 4.634 4.634
angles: 90.00 90.00 90.00
Positions (direct):
Ti (0.000, 0.000, 0.500)
Ti (0.000, 0.500, 0.000)
Ti (0.500, 0.000, 0.000)
Hg (0.500, 0.500, 0.500)
As (0.000, 0.000, 0.000)

Results
volume	19.901	Å³/atom
energy of formation	-0.009	eV/atom
symmetry	No. 221
DOS(E_F)	5.19	states/eV/cell

[7]
K3OsS | meta-GGA SCAN | PBEsol geometry

abc: 5.908 5.908 5.908
angles: 90.00 90.00 90.00
Positions (direct):
K (0.000, 0.000, 0.500)
K (0.000, 0.500, 0.000)
K (0.500, 0.000, 0.000)
Os (0.500, 0.500, 0.500)
S (0.000, 0.000, 0.000)

Results
volume	41.239	Å³/atom
energy relative to the elements, uncorrected	2.3	eV per formula unit
symmetry	No. 221

[8]
TbNdFe4 | meta-GGA SCAN | PBEsol geometry

abc: 5.081 5.081 5.081
angles: 60.00 60.00 60.00
Positions (direct):
Tb (0.000, 0.000, 0.000)
Nd (0.250, 0.250, 0.250)
Fe (0.124, 0.625, 0.625)
Fe (0.625, 0.124, 0.625)
Fe (0.625, 0.625, 0.124)
Fe (0.625, 0.625, 0.625)

Results
volume	15.461	Å³/atom
energy of formation	0.052	eV/atom
symmetry	No. 216
DOS(E_F)	5.15	states/eV/cell

[9]
Zr5In | meta-GGA SCAN | PBEsol geometry

abc: 5.985 5.985 7.566
angles: 104.74 104.74 30.32
Positions (direct):
Zr (0.000, 0.000, 0.000)
Zr (0.043, 0.043, 0.628)
Zr (0.391, 0.391, 0.290)
Zr (0.660, 0.660, 0.342)
Zr (0.727, 0.727, 0.962)
In (0.319, 0.319, 0.669)

Results
volume	21.996	Å³/atom
energy of formation	-0.134	eV/atom
symmetry	No. 8
DOS(E_F)	4.90	states/eV/cell

[10]
SmAlPt | meta-GGA SCAN | PBEsol geometry

abc: 6.997 4.405 7.733
angles: 90.00 90.00 90.00
Positions (direct):
Sm (0.028, 0.250, 0.182)
Sm (0.472, 0.750, 0.682)
Sm (0.528, 0.250, 0.318)
Sm (0.972, 0.750, 0.818)
Al (0.145, 0.250, 0.567)
Al (0.355, 0.750, 0.067)
Al (0.645, 0.250, 0.933)
Al (0.855, 0.750, 0.433)
Pt (0.222, 0.750, 0.388)
Pt (0.278, 0.250, 0.888)
Pt (0.722, 0.750, 0.112)
Pt (0.778, 0.250, 0.612)

Results
volume	19.862	Å³/atom
energy of formation	-1.338	eV/atom
symmetry	No. 62
DOS(E_F)	6.30	states/eV/cell

[11]
Ta2FeW | meta-GGA SCAN | PBEsol geometry

abc: 4.409 4.409 3.142
angles: 90.00 90.00 90.00
Positions (direct):
Ta (0.000, 0.500, 0.000)
Ta (0.500, 0.000, 0.000)
Fe (0.000, 0.000, 0.500)
W (0.500, 0.500, 0.500)

Results
volume	15.270	Å³/atom
energy of formation	-0.089	eV/atom
symmetry	No. 123
DOS(E_F)	2.68	states/eV/cell

[12]
YMn2Rh | meta-GGA SCAN | PBEsol geometry

abc: 9.205 9.205 9.205
angles: 18.34 18.34 18.34
Positions (direct):
Y (0.000, 0.000, 0.000)
Mn (0.239, 0.239, 0.239)
Mn (0.761, 0.761, 0.761)
Rh (0.500, 0.500, 0.500)

Results
volume	16.866	Å³/atom
energy of formation	0.136	eV/atom
symmetry	No. 166
DOS(E_F)	2.87	states/eV/cell

Total DFT energy (no corrections) values, unit eV/f.u., following the record order: -78.26, -65.17, -199.72, -28.88, -139.88, -136.49, -104.15, -162.55, -187.68, -126.40, -221.34, -97.58.